# 1
A plane-wave DFT calculation with SCAN was carried out for a crystal of BeCo4Se relaxed with PBEsol.

Computed properties:
Magnetic moment (μB per atom): 1.166
Formation energy (no corrections) (eV per atom): 0.472
Fermi-level density of states (states/eV/cell): 4.87

Geometry as POSCAR:
```
BeCo4Se
1.0
0.000 3.293 3.293
3.293 0.000 3.293
3.293 3.293 0.000
Be Co Se
1 4 1
Direct
0.000 0.000 0.000
0.375 0.375 0.375
0.375 0.375 0.876
0.375 0.876 0.375
0.876 0.375 0.375
0.750 0.750 0.750
```



# 2
A plane-wave DFT calculation with SCAN was carried out for a crystal of BeCoSe relaxed with PBEsol.

Computed properties:
Magnetic moment (μB per atom): 0.323
Formation energy (no corrections) (eV per atom): 0.367
Fermi-level density of states (states/eV/cell): 2.16

Geometry as POSCAR:
```
BeCoSe
1.0
0.000 2.665 2.665
2.665 0.000 2.665
2.665 2.665 0.000
Be Co Se
1 1 1
Direct
0.000 0.000 0.000
0.500 0.500 0.500
0.750 0.750 0.750
```



# 3
A plane-wave DFT calculation with SCAN was carried out for a crystal of BeCo3Si relaxed with PBEsol.

Computed properties:
Magnetic moment (μB per atom): 0.430
Formation energy (no corrections) (eV per atom): 0.395
Fermi-level density of states (states/eV/cell): 2.27

Geometry as POSCAR:
```
BeCo3Si
1.0
3.727 0.000 0.000
0.000 3.727 0.000
0.000 0.000 3.727
Be Co Si
1 3 1
Direct
0.000 0.000 0.000
0.000 0.000 0.500
0.000 0.500 0.000
0.500 0.000 0.000
0.500 0.500 0.500
```



# 4
A plane-wave DFT calculation with SCAN was carried out for a crystal of BeCoSi2 relaxed with PBEsol.

Computed properties:
Magnetic moment (μB per atom): 0.000
Formation energy (no corrections) (eV per atom): 0.008
Fermi-level density of states (states/eV/cell): 1.89

Geometry as POSCAR:
```
BeCoSi2
1.0
2.847 0.000 0.000
0.000 3.279 0.000
0.000 0.000 4.634
Be Co Si
1 1 2
Direct
0.000 0.000 0.000
0.500 0.500 0.271
0.000 0.000 0.489
0.500 0.500 0.777
```



# 5
A plane-wave DFT calculation with SCAN was carried out for a crystal of BeCo2Si2 relaxed with PBEsol.

Computed properties:
Magnetic moment (μB per atom): 0.087
Formation energy (no corrections) (eV per atom): -0.219
Fermi-level density of states (states/eV/cell): 2.75

Geometry as POSCAR:
```
BeCo2Si2
1.0
6.345 0.000 0.000
0.000 6.345 0.000
0.000 0.000 2.679
Be Co Si
2 4 4
Direct
0.000 0.000 0.000
0.500 0.500 0.000
0.147 0.353 0.000
0.353 0.853 0.000
0.647 0.147 0.000
0.853 0.647 0.000
0.151 0.651 0.500
0.349 0.151 0.500
0.651 0.849 0.500
0.849 0.349 0.500
```



# 6
A plane-wave DFT calculation with SCAN was carried out for a crystal of BeCoSi relaxed with PBEsol.

Computed properties:
Magnetic moment (μB per atom): 0.001
Formation energy (no corrections) (eV per atom): -0.110
Offset from the most stable computed form (kcal/mol of atoms): 6.05
Fermi-level density of states (states/eV/cell): 0.97

Geometry as POSCAR:
```
BeCoSi
1.0
3.689 0.000 0.000
-1.844 3.194 0.000
0.000 0.000 2.479
Be Co Si
1 1 1
Direct
0.000 0.000 0.000
0.667 0.333 0.329
0.333 0.667 0.704
```



# 7
A plane-wave DFT calculation with SCAN was carried out for a crystal of BeCoSi2 relaxed with PBEsol.

Computed properties:
Magnetic moment (μB per atom): 0.000
Formation energy (no corrections) (eV per atom): -0.021
Fermi-level density of states (states/eV/cell): 1.03

Geometry as POSCAR:
```
BeCoSi2
1.0
3.977 -1.336 0.000
3.977 1.336 0.000
-0.384 0.000 4.032
Be Co Si
1 1 2
Direct
0.000 0.000 0.000
0.255 0.255 0.752
0.516 0.516 0.528
0.759 0.759 0.235
```



# 8
A plane-wave DFT calculation with SCAN was carried out for a crystal of BeCoSi relaxed with PBEsol.

Computed properties:
Magnetic moment (μB per atom): 0.088
Formation energy (no corrections) (eV per atom): -0.372
Offset from the most stable computed form (kcal/mol of atoms): 0.00
Fermi-level density of states (states/eV/cell): 0.96

Geometry as POSCAR:
```
BeCoSi
1.0
-1.320 1.542 3.550
1.320 -1.542 3.550
1.320 1.542 -3.550
Be Co Si
1 1 1
Direct
0.000 0.000 0.000
0.660 0.660 0.000
0.327 0.327 0.000
```



no.,calculated volume (Å³ per cell)
1,71
2,38
3,52
4,43
5,108
6,29
7,43
8,29